<w>
Below is a geometry-optimized Mn2NiO14 structure, with properties calculated at the PBE+U level.

POSCAR file:
```
Mn2NiO14
1.0
3.9339 -6.8137 0.0000
3.9339 6.8137 0.0000
0.0000 0.0000 4.4525
O Mn Ni
14 2 1
Direct
0.9008 0.0992 0.9328
0.8021 0.9010 0.5144
0.0990 0.1979 0.5144
0.4462 0.8925 0.9127
0.9008 0.8016 0.9328
0.8924 0.4462 0.4087
0.3333 0.6667 0.3888
0.4462 0.5538 0.9127
0.1984 0.0992 0.9328
0.5538 0.1076 0.4087
0.1075 0.5538 0.9127
0.6667 0.3333 0.8851
0.5538 0.4462 0.4087
0.0990 0.9010 0.5144
0.6667 0.3333 0.5205
0.3333 0.6667 0.0244
0.0000 0.0000 0.2232
```

Size of the total moment   10.0 μB/f.u.
Space group   P3m1, No. 156

=====

<x>
Below is a geometry-optimized Mn2NiO14 structure, with properties calculated at the PBE+U level.

POSCAR file:
```
Mn2NiO14
1.0
3.9651 7.0509 0.0228
-3.9651 7.0509 0.0228
0.0000 0.1283 4.4131
O Mn Ni
14 2 1
Direct
0.1885 0.8874 0.4509
0.1561 0.4882 0.6430
0.4732 0.4732 0.4171
0.8483 0.5160 0.2162
0.7089 0.7089 0.7080
0.4882 0.1561 0.6430
0.5160 0.8483 0.2162
0.0889 0.0889 0.0292
0.1019 0.7960 0.0396
0.8874 0.1885 0.4509
0.8978 0.8978 0.4614
0.7960 0.1019 0.0396
0.3083 0.3083 0.1333
0.5377 0.5377 0.9706
0.6535 0.6535 0.0318
0.3563 0.3563 0.4602
0.9929 0.9929 0.7472
```

Size of the total moment   10.0 μB/f.u.
Space group   Cm, No. 8

=====

The data favor <x>; the next most stable structure lies 0.012 eV/atom above it.

=====

<w>
Below is a geometry-optimized MnNiPO2 structure, with properties calculated at the PBE+U level.

POSCAR file:
```
MnNiPO2
1.0
-3.5473 -1.0119 -0.4704
0.6851 -0.7377 -3.5798
1.0946 -4.3513 1.1062
P Ni Mn O
1 1 1 2
Direct
0.0000 0.0000 0.5000
0.0000 0.0000 0.0000
0.5000 0.5000 0.5000
0.5000 0.0000 0.0000
0.0000 0.5000 0.0000
```

Size of the total moment   3.9 μB/f.u.
Space group   P4/mmm, No. 123

=====

<x>
Below is a geometry-optimized MnNiPO2 structure, with properties calculated at the PBE+U level.

POSCAR file:
```
MnNiPO2
1.0
3.6446 0.0000 0.0000
0.0000 3.6446 0.0000
0.0000 0.0000 5.1642
O Ni Mn P
2 1 1 1
Direct
0.5000 0.0000 0.0000
0.0000 0.5000 0.0000
0.5000 0.5000 0.5000
0.0000 0.0000 0.0000
0.0000 0.0000 0.5000
```

Size of the total moment   4.0 μB/f.u.
Space group   P4/mmm, No. 123

=====

The data favor <x>; the next most stable structure lies 0.146 eV/atom above it.

=====

<w>
Below is a geometry-optimized Mn2TcNiO structure, with properties calculated at the PBE+U level.

POSCAR file:
```
Mn2TcNiO
1.0
4.8412 0.0000 0.0000
0.0000 3.4390 0.0000
0.0000 0.0000 4.8412
Mn O Tc Ni
2 1 1 1
Direct
0.5000 0.0000 0.0000
0.0000 0.0000 0.5000
0.0000 0.5000 0.0000
0.5000 0.5000 0.5000
0.0000 0.0000 0.0000
```

Size of the total moment   6.8 μB/f.u.
Space group   P4/mmm, No. 123

=====

<x>
Below is a geometry-optimized Mn2TcNiO structure, with properties calculated at the PBE+U level.

POSCAR file:
```
Mn2TcNiO
1.0
-2.8285 -2.6963 0.2109
0.3464 -0.6720 -3.9446
2.6834 -2.7597 0.7058
Tc Ni Mn O
1 1 2 1
Direct
0.0000 0.5000 0.0000
0.5000 0.5000 0.5000
0.5000 0.0000 0.0000
0.0000 0.0000 0.5000
0.0000 0.0000 0.0000
```

Size of the total moment   0.7 μB/f.u.
Space group   P4/mmm, No. 123

=====

The data favor <w>; the next most stable structure lies 0.359 eV/atom above it.